VASP calculation (GGA-PBEsol) on a relaxed MgScZn crystal.

```
MgScZn
1.0
0.0000 3.2030 3.2030
3.2030 0.0000 3.2030
3.2030 3.2030 0.0000
Mg Sc Zn
1 1 1
direct
0.0000 0.0000 0.0000
0.7500 0.7500 0.7500
0.2500 0.2500 0.2500
```

Results
Total magnetization = 0.00 μB/cell
Space group = No. 216
DOS(E_F) = 4.38 states/eV/f.u.
Energy relative to the elements = 0.362 eV/atom
Raw total energy = -8.819 eV per formula unit



VASP calculation (GGA-PBEsol) on a relaxed MgSc2Zn crystal.

```
MgSc2Zn
1.0
-1.6468 2.4615 5.0464
1.6468 -2.4615 5.0464
1.6468 2.4615 -5.0464
Mg Sc Zn
1 2 1
direct
0.0000 0.0000 0.0000
0.2789 0.7789 0.5000
0.5593 0.5593 0.0000
0.7878 0.2878 0.5000
```

Results
Total magnetization = 0.63 μB/cell
Space group = No. 44
DOS(E_F) = 5.11 states/eV/f.u.
Energy relative to the elements = -0.115 eV/atom
Raw total energy = -16.970 eV per formula unit



VASP calculation (GGA-PBEsol) on a relaxed MgScZn2 crystal.

```
MgScZn2
1.0
4.3014 0.0000 0.0000
0.0000 1.6233 5.1673
0.0000 -1.6233 5.1673
Mg Sc Zn
1 1 2
direct
0.0000 0.0000 0.0000
0.5000 0.3144 0.3144
0.0000 0.7269 0.7269
0.5000 0.5892 0.5892
```

Results
Total magnetization = 0.00 μB/cell
Space group = No. 38
DOS(E_F) = 1.62 states/eV/f.u.
Energy relative to the elements = -0.234 eV/atom
Raw total energy = -12.420 eV per formula unit



VASP calculation (GGA-PBEsol) on a relaxed MgScZn2 crystal.

```
MgScZn2
1.0
-1.6157 2.3331 4.7656
1.6157 -2.3331 4.7656
1.6157 2.3331 -4.7656
Mg Sc Zn
1 1 2
direct
0.0000 0.0000 0.0000
0.2822 0.7822 0.5000
0.5355 0.5355 0.0000
0.7426 0.2426 0.5000
```

Results
Total magnetization = 0.00 μB/cell
Space group = No. 44
DOS(E_F) = 2.33 states/eV/f.u.
Energy relative to the elements = -0.152 eV/atom
Raw total energy = -12.094 eV per formula unit



VASP calculation (GGA-PBEsol) on a relaxed MgSc2Zn crystal.

```
MgSc2Zn
1.0
1.5916 0.9189 9.7058
-1.5916 0.9189 9.7058
0.0000 -1.8379 9.7058
Mg Sc Zn
1 2 1
direct
0.0000 0.0000 0.0000
0.2415 0.2415 0.2415
0.4853 0.4853 0.4853
0.7425 0.7425 0.7425
```

Results
Total magnetization = 0.95 μB/cell
Space group = No. 160
DOS(E_F) = 3.99 states/eV/f.u.
Energy relative to the elements = -0.002 eV/atom
Raw total energy = -16.519 eV per formula unit



VASP calculation (GGA-PBEsol) on a relaxed MgSc2Zn crystal.

```
MgSc2Zn
1.0
4.7499 0.0000 0.0000
0.0000 4.7499 0.0000
0.0000 0.0000 3.5454
Mg Sc Zn
1 2 1
direct
0.0000 0.0000 0.0000
0.0000 0.5000 0.5000
0.5000 0.0000 0.5000
0.5000 0.5000 0.0000
```

Results
Total magnetization = 0.00 μB/cell
Space group = No. 123
DOS(E_F) = 4.07 states/eV/f.u.
Energy relative to the elements = -0.171 eV/atom
Raw total energy = -17.194 eV per formula unit



VASP calculation (GGA-PBEsol) on a relaxed MgZr2Sc crystal.

```
MgZr2Sc
1.0
3.1439 0.0000 0.0000
0.0000 3.1439 0.0000
0.0000 0.0000 9.0768
Mg Zr Sc
1 2 1
direct
0.0000 0.0000 0.0000
0.0000 0.0000 0.5004
0.5000 0.5000 0.7458
0.5000 0.5000 0.2577
```

Results
Total magnetization = 0.00 μB/cell
Space group = No. 99
DOS(E_F) = 5.24 states/eV/f.u.
Energy relative to the elements = -0.006 eV/atom
Raw total energy = -26.526 eV per formula unit



VASP calculation (GGA-PBEsol) on a relaxed Mg2ZrSc crystal.

```
Mg2ZrSc
1.0
3.1267 0.0000 0.0000
0.0000 4.4348 0.0000
0.0000 0.0000 6.3522
Mg Zr Sc
2 1 1
direct
0.0000 0.0000 0.2469
0.0000 0.0000 0.7531
0.5000 0.5000 0.0000
0.5000 0.5000 0.5000
```

Results
Total magnetization = 0.00 μB/cell
Space group = No. 47
DOS(E_F) = 3.96 states/eV/f.u.
Energy relative to the elements = 0.053 eV/atom
Raw total energy = -18.919 eV per formula unit



VASP calculation (GGA-PBEsol) on a relaxed MgZr2Sc crystal.

```
MgZr2Sc
1.0
5.4286 -1.5399 0.0000
5.4286 1.5399 0.0000
-0.8415 0.0000 5.3155
Mg Zr Sc
1 2 1
direct
0.0000 0.0000 0.0000
0.2568 0.2568 0.7470
0.7432 0.7432 0.2530
0.5000 0.5000 0.5000
```

Results
Total magnetization = 0.00 μB/cell
Space group = No. 12
DOS(E_F) = 4.45 states/eV/f.u.
Energy relative to the elements = 0.062 eV/atom
Raw total energy = -26.252 eV per formula unit



VASP calculation (GGA-PBEsol) on a relaxed MgZr2Sc crystal.

```
MgZr2Sc
1.0
3.1417 0.0000 0.0000
0.0000 4.4831 0.0000
0.0000 0.0000 6.2776
Mg Zr Sc
1 2 1
direct
0.0000 0.0000 0.0000
0.5000 0.5000 0.2588
0.5000 0.5000 0.7412
0.0000 0.0000 0.5000
```

Results
Total magnetization = 0.00 μB/cell
Space group = No. 47
DOS(E_F) = 5.00 states/eV/f.u.
Energy relative to the elements = 0.055 eV/atom
Raw total energy = -26.282 eV per formula unit



VASP calculation (GGA-PBEsol) on a relaxed Mg2ZrSc crystal.

```
Mg2ZrSc
1.0
4.9666 0.0000 0.0000
0.0000 4.9666 0.0000
0.0000 0.0000 3.5266
Mg Zr Sc
2 1 1
direct
0.0000 0.5000 0.0000
0.5000 0.0000 0.0000
0.0000 0.0000 0.5000
0.5000 0.5000 0.5000
```

Results
Total magnetization = 0.00 μB/cell
Space group = No. 123
DOS(E_F) = 4.97 states/eV/f.u.
Energy relative to the elements = 0.052 eV/atom
Raw total energy = -18.923 eV per formula unit



VASP calculation (GGA-PBEsol) on a relaxed MgZr2Sc crystal.

```
MgZr2Sc
1.0
1.5510 0.8954 10.7214
-1.5510 0.8954 10.7214
0.0000 -1.7909 10.7214
Mg Zr Sc
1 2 1
direct
0.0000 0.0000 0.0000
0.2495 0.2495 0.2495
0.7505 0.7505 0.7505
0.5000 0.5000 0.5000
```

Results
Total magnetization = 0.00 μB/cell
Space group = No. 166
DOS(E_F) = 4.86 states/eV/f.u.
Energy relative to the elements = 0.062 eV/atom
Raw total energy = -26.255 eV per formula unit



DOS(E_F) of number 12 (MgZr2Sc)? 4.86 states/eV/f.u.